[1]
Material: SrPmMgGe
Method: DFT, GGA-PBE
State: relaxed

Structure (POSCAR):
```
SrPmMgGe
1.0
0.000 3.819 3.819
3.819 0.000 3.819
3.819 3.819 0.000
Sr Pm Mg Ge
1 1 1 1
Direct
0.000 0.000 0.000
0.500 0.500 0.500
0.750 0.750 0.750
0.250 0.250 0.250
```

## Properties
- Space group: No. 216
- Total energy: -3.43 eV per atom
- Magnetization: 0.0 μB/f.u.
- Formation enthalpy at 0 K: -0.26 eV per atom

---

[2]
Material: TbPmMgGe
Method: DFT, GGA-PBE
State: relaxed

Structure (POSCAR):
```
TbPmMgGe
1.0
0.000 3.678 3.678
3.678 0.000 3.678
3.678 3.678 0.000
Tb Pm Mg Ge
1 1 1 1
Direct
0.000 0.000 0.000
0.500 0.500 0.500
0.250 0.250 0.250
0.750 0.750 0.750
```

## Properties
- Space group: No. 216
- Total energy: -4.27 eV per atom
- Magnetization: 0.0 μB/f.u.
- Formation enthalpy at 0 K: -0.37 eV per atom

---

[3]
Material: PmMgTcGe2
Method: DFT, GGA-PBE
State: relaxed

Structure (POSCAR):
```
PmMgTcGe2
1.0
-2.050 2.050 5.811
2.050 -2.050 5.811
2.050 2.050 -5.811
Pm Mg Tc Ge
1 1 1 2
Direct
0.000 0.000 0.000
0.250 0.750 0.500
0.750 0.250 0.500
0.390 0.390 0.000
0.610 0.610 0.000
```

## Properties
- Space group: No. 119
- Total energy: -5.58 eV per atom
- Magnetization: 1.1 μB/f.u.
- Formation enthalpy at 0 K: -0.39 eV per atom

---

[4]
Material: Pm2MgZn3Ge4
Method: DFT, GGA-PBE
State: relaxed

Structure (POSCAR):
```
Pm2MgZn3Ge4
1.0
4.267 0.000 0.000
0.000 4.267 0.000
0.000 0.000 11.067
Pm Mg Zn Ge
2 1 3 4
Direct
0.000 0.500 0.240
0.500 0.000 0.760
0.000 0.000 0.500
0.000 0.500 0.868
0.500 0.000 0.132
0.500 0.500 0.500
0.000 0.000 0.000
0.000 0.500 0.648
0.500 0.000 0.352
0.500 0.500 0.000
```

## Properties
- Space group: No. 115
- Total energy: -3.73 eV per atom
- Magnetization: 0.0 μB/f.u.
- Formation enthalpy at 0 K: -0.40 eV per atom

---

[5]
Material: Pm2MgZn4Ge3
Method: DFT, GGA-PBE
State: relaxed

Structure (POSCAR):
```
Pm2MgZn4Ge3
1.0
4.206 0.000 0.000
0.000 4.206 0.000
0.000 0.000 11.097
Pm Mg Zn Ge
2 1 4 3
Direct
0.000 0.500 0.243
0.500 0.000 0.757
0.000 0.000 0.500
0.000 0.000 0.000
0.000 0.500 0.642
0.500 0.000 0.358
0.500 0.500 0.000
0.000 0.500 0.863
0.500 0.000 0.137
0.500 0.500 0.500
```

## Properties
- Space group: No. 115
- Total energy: -3.41 eV per atom
- Magnetization: 0.0 μB/f.u.
- Formation enthalpy at 0 K: -0.40 eV per atom

---

[6]
Material: PmMgZn2Ge2
Method: DFT, GGA-PBE
State: relaxed

Structure (POSCAR):
```
PmMgZn2Ge2
1.0
4.443 0.000 0.000
-2.222 3.848 0.000
0.000 0.000 6.793
Pm Mg Zn Ge
1 1 2 2
Direct
0.000 0.000 0.000
0.000 0.000 0.500
0.333 0.667 0.697
0.667 0.333 0.303
0.333 0.667 0.272
0.667 0.333 0.728
```

## Properties
- Space group: No. 164
- Total energy: -3.42 eV per atom
- Magnetization: 0.0 μB/f.u.
- Formation enthalpy at 0 K: -0.39 eV per atom

---

[7]
Material: PrMgGe
Method: DFT, GGA-PBE
State: relaxed

Structure (POSCAR):
```
PrMgGe
1.0
-2.165 2.165 7.868
2.165 -2.165 7.868
2.165 2.165 -7.868
Pr Mg Ge
2 2 2
Direct
0.167 0.167 0.000
0.833 0.833 0.000
0.000 0.500 0.500
0.500 0.000 0.500
0.368 0.368 0.000
0.632 0.632 0.000
```

## Properties
- Space group: No. 139
- Total energy: -4.31 eV per atom
- Magnetization: 0.0 μB/f.u.
- Formation enthalpy at 0 K: -0.65 eV per atom

---

[8]
Material: PrMg2Ge2
Method: DFT, GGA-PBE
State: relaxed

Structure (POSCAR):
```
PrMg2Ge2
1.0
-2.165 2.165 5.935
2.165 -2.165 5.935
2.165 2.165 -5.935
Pr Mg Ge
1 2 2
Direct
0.000 0.000 0.000
0.250 0.750 0.500
0.750 0.250 0.500
0.393 0.393 0.000
0.607 0.607 0.000
```

## Properties
- Space group: No. 139
- Total energy: -3.96 eV per atom
- Magnetization: 0.0 μB/f.u.
- Offset from the most stable computed form: 0 meV per atom
- Formation enthalpy at 0 K: -0.52 eV per atom

---

[9]
Material: Pr4Mg7Ge6
Method: DFT, GGA-PBE
State: relaxed

Structure (POSCAR):
```
Pr4Mg7Ge6
1.0
8.391 -2.230 0.000
8.391 2.230 0.000
-6.791 0.000 10.639
Pr Mg Ge
4 7 6
Direct
0.129 0.129 0.340
0.233 0.233 0.113
0.767 0.767 0.887
0.871 0.871 0.660
0.000 0.000 0.000
0.190 0.190 0.654
0.438 0.438 0.105
0.460 0.460 0.361
0.540 0.540 0.639
0.562 0.562 0.895
0.810 0.810 0.346
0.109 0.109 0.811
0.351 0.351 0.475
0.381 0.381 0.849
0.619 0.619 0.151
0.649 0.649 0.525
0.891 0.891 0.189
```

## Properties
- Space group: No. 12
- Total energy: -3.97 eV per atom
- Magnetization: 0.0 μB/f.u.
- Formation enthalpy at 0 K: -0.56 eV per atom

---

[10]
Material: Pr4MgGe2
Method: DFT, GGA-PBE
State: relaxed

Structure (POSCAR):
```
Pr4MgGe2
1.0
2.601 1.502 9.098
-2.601 1.502 9.098
0.000 -3.003 9.098
Pr Mg Ge
4 1 2
Direct
0.119 0.119 0.119
0.289 0.289 0.289
0.711 0.711 0.711
0.881 0.881 0.881
0.500 0.500 0.500
0.402 0.402 0.402
0.598 0.598 0.598
```

## Properties
- Space group: No. 166
- Total energy: -4.63 eV per atom
- Magnetization: 0.0 μB/f.u.
- Formation enthalpy at 0 K: -0.35 eV per atom

---

[11]
Material: Pr2Mg2Ge3
Method: DFT, GGA-PBE
State: relaxed

Structure (POSCAR):
```
Pr2Mg2Ge3
1.0
7.950 -2.219 0.000
7.950 2.219 0.000
-7.391 0.000 9.958
Pr Mg Ge
4 4 6
Direct
0.107 0.107 0.448
0.231 0.231 0.832
0.769 0.769 0.168
0.893 0.893 0.552
0.090 0.090 0.159
0.452 0.452 0.175
0.548 0.548 0.825
0.910 0.910 0.841
0.130 0.130 0.975
0.335 0.335 0.679
0.421 0.421 0.379
0.579 0.579 0.621
0.665 0.665 0.321
0.870 0.870 0.025
```

## Properties
- Space group: No. 12
- Total energy: -4.38 eV per atom
- Magnetization: 0.0 μB/f.u.
- Formation enthalpy at 0 K: -0.58 eV per atom

---

[12]
Material: PrMgGe
Method: DFT, GGA-PBE
State: relaxed

Structure (POSCAR):
```
PrMgGe
1.0
4.504 0.000 0.000
-2.252 3.901 0.000
0.000 0.000 4.265
Pr Mg Ge
1 1 1
Direct
0.000 0.000 0.000
0.333 0.667 0.500
0.667 0.333 0.500
```

## Properties
- Space group: No. 187
- Total energy: -4.19 eV per atom
- Magnetization: 0.0 μB/f.u.
- Formation enthalpy at 0 K: -0.52 eV per atom

---

[13]
Material: Pr5Mg2Ge4
Method: DFT, GGA-PBE
State: relaxed

Structure (POSCAR):
```
Pr5Mg2Ge4
1.0
10.497 -2.132 0.000
10.497 2.132 0.000
-2.528 0.000 6.842
Pr Mg Ge
5 2 4
Direct
0.000 0.000 0.000
0.336 0.336 0.066
0.336 0.336 0.606
0.664 0.664 0.394
0.664 0.664 0.934
0.072 0.072 0.572
0.928 0.928 0.428
0.207 0.207 0.707
0.500 0.500 0.309
0.500 0.500 0.691
0.793 0.793 0.293
```

## Properties
- Space group: No. 12
- Total energy: -4.61 eV per atom
- Magnetization: 0.0 μB/f.u.
- Formation enthalpy at 0 K: -0.47 eV per atom

---

[14]
Material: PrMg2Ge
Method: DFT, GGA-PBE
State: relaxed

Structure (POSCAR):
```
PrMg2Ge
1.0
1.631 0.942 10.953
-1.631 0.942 10.953
0.000 -1.884 10.953
Pr Mg Ge
1 2 1
Direct
0.000 0.000 0.000
0.099 0.099 0.099
0.901 0.901 0.901
0.500 0.500 0.500
```

## Properties
- Space group: No. 166
- Total energy: -3.00 eV per atom
- Magnetization: 0.0 μB/f.u.
- Offset from the most stable computed form: 514 meV per atom
- Formation enthalpy at 0 K: 0.14 eV per atom

---

[15]
Material: Pr2MgGe2
Method: DFT, GGA-PBE
State: relaxed

Structure (POSCAR):
```
Pr2MgGe2
1.0
7.527 0.000 0.000
0.000 7.527 0.000
0.000 0.000 4.435
Pr Mg Ge
4 2 4
Direct
0.179 0.321 0.000
0.321 0.821 0.000
0.679 0.179 0.000
0.821 0.679 0.000
0.000 0.000 0.500
0.500 0.500 0.500
0.121 0.621 0.500
0.379 0.121 0.500
0.621 0.879 0.500
0.879 0.379 0.500
```

## Properties
- Space group: No. 127
- Total energy: -4.84 eV per atom
- Magnetization: 0.0 μB/f.u.
- Formation enthalpy at 0 K: -0.76 eV per atom

---

[16]
Material: PrMgGe4
Method: DFT, GGA-PBE
State: relaxed

Structure (POSCAR):
```
PrMgGe4
1.0
0.000 4.002 4.002
4.002 0.000 4.002
4.002 4.002 0.000
Pr Mg Ge
1 1 4
Direct
0.000 0.000 0.000
0.750 0.750 0.750
0.376 0.376 0.376
0.376 0.376 0.871
0.376 0.871 0.376
0.871 0.376 0.376
```

## Properties
- Space group: No. 216
- Total energy: -4.36 eV per atom
- Magnetization: 0.0 μB/f.u.
- Formation enthalpy at 0 K: -0.22 eV per atom

---

[17]
Material: PrMgGe
Method: DFT, GGA-PBE
State: relaxed

Structure (POSCAR):
```
PrMgGe
1.0
0.000 3.421 3.421
3.421 0.000 3.421
3.421 3.421 0.000
Pr Mg Ge
1 1 1
Direct
0.000 0.000 0.000
0.500 0.500 0.500
0.250 0.250 0.250
```

## Properties
- Space group: No. 216
- Total energy: -4.14 eV per atom
- Magnetization: 0.0 μB/f.u.
- Formation enthalpy at 0 K: -0.48 eV per atom

---

[18]
Material: PrMg2Ge
Method: DFT, GGA-PBE
State: relaxed

Structure (POSCAR):
```
PrMg2Ge
1.0
4.434 0.000 0.000
0.000 4.434 0.000
0.000 0.000 4.860
Pr Mg Ge
1 2 1
Direct
0.000 0.000 0.000
0.000 0.500 0.500
0.500 0.000 0.500
0.500 0.500 0.000
```

## Properties
- Space group: No. 123
- Total energy: -3.52 eV per atom
- Magnetization: 0.0 μB/f.u.
- Offset from the most stable computed form: 0 meV per atom
- Formation enthalpy at 0 K: -0.37 eV per atom

---

[19]
Material: PrMgGe
Method: DFT, GGA-PBE
State: relaxed

Structure (POSCAR):
```
PrMgGe
1.0
13.118 0.000 0.000
0.000 4.417 0.000
0.000 0.000 7.652
Pr Mg Ge
6 6 6
Direct
0.050 0.000 0.232
0.250 0.000 0.848
0.450 0.000 0.232
0.550 0.000 0.768
0.750 0.000 0.152
0.950 0.000 0.768
0.121 0.500 0.563
0.250 0.500 0.208
0.379 0.500 0.563
0.621 0.500 0.437
0.750 0.500 0.792
0.879 0.500 0.437
0.094 0.500 0.941
0.250 0.000 0.454
0.406 0.500 0.941
0.594 0.500 0.059
0.750 0.000 0.546
0.906 0.500 0.059
```

## Properties
- Space group: No. 51
- Total energy: -4.23 eV per atom
- Magnetization: 0.0 μB/f.u.
- Formation enthalpy at 0 K: -0.57 eV per atom

---

[20]
Material: PrMg2Ge2
Method: DFT, GGA-PBE
State: relaxed

Structure (POSCAR):
```
PrMg2Ge2
1.0
-2.028 2.028 9.739
2.028 -2.028 9.739
2.028 2.028 -9.739
Pr Mg Ge
1 2 2
Direct
0.000 0.000 0.000
0.250 0.750 0.500
0.750 0.250 0.500
0.152 0.152 0.000
0.848 0.848 0.000
```

## Properties
- Space group: No. 139
- Total energy: -3.10 eV per atom
- Magnetization: 0.3 μB/f.u.
- Offset from the most stable computed form: 864 meV per atom
- Formation enthalpy at 0 K: 0.34 eV per atom